# 1
Below is a relaxed La5Dy2Ho4 crystal, with properties calculated at the GGA-PBE level.

Cell lengths 12.8720, 12.8720, 12.8720 Å; angles 164.15, 137.82, 45.33 degrees
With the nearest neighbours (Å) after each atom.
Fractional coordinates of all 11 atoms:
La (0.0000, 0.0000, 0.0000)  4 Ho 3.42, 2 La 3.55
La (0.0545, 0.3529, 0.7016)  3 Dy 3.46-3.83, 3 Ho 3.50-3.65, 3 La 3.55-3.73
La (0.3487, 0.6471, 0.7016)  3 Dy 3.46-3.83, 3 Ho 3.50-3.65, 3 La 3.55-3.73
La (0.6513, 0.3529, 0.2984)  3 Dy 3.46-3.83, 3 Ho 3.50-3.65, 3 La 3.55-3.73
La (0.9455, 0.6471, 0.2984)  3 Dy 3.46-3.83, 3 Ho 3.50-3.65, 3 La 3.55-3.73
Dy (0.2696, 0.7696, 0.5000)  1 Ho 3.19, 2 La 3.46, 2 Dy 3.55
Dy (0.7304, 0.2304, 0.5000)  1 Ho 3.19, 2 La 3.46, 2 Dy 3.55
Ho (0.3160, 0.5000, 0.8160)  7 Ho 3.36-3.55, 4 La 3.42-3.65
Ho (0.4037, 0.9037, 0.5000)  1 Dy 3.19, 6 Ho 3.36-3.55, 4 La 3.50
Ho (0.5963, 0.0963, 0.5000)  1 Dy 3.19, 6 Ho 3.36-3.55, 4 La 3.50
Ho (0.6840, 0.5000, 0.1840)  7 Ho 3.36-3.55, 4 La 3.42-3.65

Results
E above lowest polymorph (kcal/mol of atoms): 2.35
SG: Immm, No. 71
DOS at the Fermi energy (states/eV/f.u.): 18.305
Calculated formation energy (meV per atom): 182
V (Å³/cell): 390.5

---

# 2
Below is a relaxed Cr2Fe2Ag crystal, with properties calculated at the GGA-PBE level.

Cell lengths 6.9089, 6.9089, 2.5971 Å; angles 90.00, 90.00, 90.00 degrees
With the nearest neighbours (Å) after each atom.
Fractional coordinates of all 10 atoms:
Cr (0.1576, 0.3424, 0.0000)  6 Fe 2.39-2.43, 2 Cr 2.60
Cr (0.3424, 0.8424, 0.0000)  6 Fe 2.39-2.43, 2 Cr 2.60
Cr (0.6576, 0.1576, 0.0000)  6 Fe 2.39-2.43, 2 Cr 2.60
Cr (0.8424, 0.6576, 0.0000)  6 Fe 2.39-2.43, 2 Cr 2.60
Fe (0.1324, 0.6324, 0.5000)  6 Cr 2.39-2.43, 3 Fe 2.59-2.60
Fe (0.3676, 0.1324, 0.5000)  6 Cr 2.39-2.43, 3 Fe 2.59-2.60
Fe (0.6324, 0.8676, 0.5000)  6 Cr 2.39-2.43, 3 Fe 2.59-2.60
Fe (0.8676, 0.3676, 0.5000)  6 Cr 2.39-2.43, 3 Fe 2.59-2.60
Ag (0.0000, 0.0000, 0.5000)  2 Ag 2.60, 4 Fe 2.70
Ag (0.5000, 0.5000, 0.5000)  2 Ag 2.60, 4 Fe 2.70

Results
E above lowest polymorph (kcal/mol of atoms): 0.00
SG: P4/mbm, No. 127
DOS at the Fermi energy (states/eV/f.u.): 5.030
Calculated formation energy (meV per atom): 333
V (Å³/cell): 124.0

---

# 3
Below is a relaxed CrSiSe crystal, with properties calculated at the GGA-PBE level.

Cell lengths 4.3459, 4.3459, 4.3459 Å; angles 60.00, 60.00, 60.00 degrees
With the nearest neighbours (Å) after each atom.
Fractional coordinates of all 3 atoms:
Cr (0.0000, 0.0000, 0.0000)  4 Si 2.66
Si (0.7500, 0.7500, 0.7500)  4 Cr 2.66, 4 Se 2.66
Se (0.5000, 0.5000, 0.5000)  4 Si 2.66

Results
SG: F-43m, No. 216
DOS at the Fermi energy (states/eV/f.u.): 3.113
Formation energy without anion corrections (eV per atom): 0.5934
V (Å³/cell): 58.0

---

# 4
Below is a relaxed K2AgPd crystal, with properties calculated at the GGA-PBE level.

Cell lengths 11.4779, 11.4779, 11.4779 Å; angles 16.68, 16.68, 16.68 degrees
With the nearest neighbours (Å) after each atom.
Fractional coordinates of all 4 atoms:
K (0.0841, 0.0841, 0.0841)  1 Pd 2.85
K (0.9159, 0.9159, 0.9159)  1 Pd 2.85
Ag (0.5000, 0.5000, 0.5000)  6 Ag 3.33, 6 K 3.40
Pd (0.0000, 0.0000, 0.0000)  2 K 2.85

Results
E above lowest polymorph (kcal/mol of atoms): 10.04
SG: R-3m, No. 166
DOS at the Fermi energy (states/eV/f.u.): 1.944
Calculated formation energy (meV per atom): 467
V (Å³/cell): 108.7

---

> Number 1 is which compound?

La5Dy2Ho4